VASP calculation (PBE-GGA) on a geometry-optimized Ca8GaN2 structure.

a b c (Å): 7.7874 7.7874 7.5396
angles (deg): 104.05 104.05 57.79
Fractional coordinates of all 11 atoms:
Ca 0.0999 0.6574 0.7323
Ca 0.1687 0.1687 0.8632
Ca 0.3426 0.9001 0.2677
Ca 0.3688 0.3688 0.2813
Ca 0.6312 0.6312 0.7187
Ca 0.6574 0.0999 0.7323
Ca 0.8313 0.8313 0.1368
Ca 0.9001 0.3426 0.2677
Ga 0.0000 0.0000 0.5000
N 0.2014 0.2014 0.1675
N 0.7986 0.7986 0.8325

- SG = C2/m (12)
- total magnetization (μB per cell) = 0.0
- formation energy without anion corrections (eV/atom) = -0.3541
- E (hartree per atom) = -0.1322